# 1
Computed, not measured: an optimized crystal structure of YI2BrN at the PBE-GGA level of DFT.

```
YI2BrN
1.0
6.109 0.000 0.000
0.000 6.109 0.000
0.000 0.000 4.615
Y I Br N
1 2 1 1
direct
0.000 0.000 0.000
0.000 0.500 0.000
0.500 0.000 0.000
0.500 0.500 0.500
0.000 0.000 0.500
```

Computed properties:
Magnetic moment: 3.1 μB per formula unit
E: -0.2906 Ry/atom
Crystal system: tetragonal



# 2
Computed, not measured: an optimized crystal structure of ZnI2BrN at the PBE-GGA level of DFT.

```
ZnI2BrN
1.0
7.617 0.000 0.000
0.000 7.617 0.000
0.000 0.000 3.570
Zn I Br N
1 2 1 1
direct
0.000 0.000 0.000
0.000 0.500 0.500
0.500 0.000 0.500
0.500 0.500 0.500
0.500 0.500 0.000
```

Computed properties:
Magnetic moment: 0.0 μB per formula unit
E: -0.1276 Ry/atom
Crystal system: tetragonal



# 3
Computed, not measured: an optimized crystal structure of ZnI2BrN at the PBE-GGA level of DFT.

```
ZnI2BrN
1.0
6.175 0.000 0.000
0.000 6.175 0.000
0.000 0.000 3.678
Zn I Br N
1 2 1 1
direct
0.000 0.000 0.000
0.000 0.500 0.000
0.500 0.000 0.000
0.500 0.500 0.500
0.000 0.000 0.500
```

Computed properties:
Magnetic moment: 2.3 μB per formula unit
E: -0.1582 Ry/atom
Crystal system: tetragonal



# 4
Computed, not measured: an optimized crystal structure of ZrI2BrN at the PBE-GGA level of DFT.

```
ZrI2BrN
1.0
6.210 0.000 0.000
0.000 6.210 0.000
0.000 0.000 3.669
Zr I Br N
1 2 1 1
direct
0.000 0.000 0.000
0.000 0.500 0.500
0.500 0.000 0.500
0.500 0.500 0.500
0.500 0.500 0.000
```

Computed properties:
Magnetic moment: 0.0 μB per formula unit
E: -0.2263 Ry/atom
Crystal system: tetragonal



# 5
Computed, not measured: an optimized crystal structure of ZrI2BrN at the PBE-GGA level of DFT.

```
ZrI2BrN
1.0
5.981 0.000 0.000
0.000 5.981 0.000
0.000 0.000 4.056
Zr I Br N
1 2 1 1
direct
0.000 0.000 0.000
0.000 0.500 0.000
0.500 0.000 0.000
0.500 0.500 0.500
0.000 0.000 0.500
```

Computed properties:
Magnetic moment: 1.4 μB per formula unit
E: -0.3225 Ry/atom
Crystal system: tetragonal



# 6
Computed, not measured: an optimized crystal structure of Na2IBr at the PBE-GGA level of DFT.

```
Na2IBr
1.0
4.353 0.000 0.000
-2.176 3.770 0.000
0.000 0.000 23.145
Na I Br
6 3 3
direct
0.000 0.000 0.000
0.000 0.000 0.158
0.333 0.667 0.667
0.333 0.667 0.825
0.667 0.333 0.333
0.667 0.333 0.492
0.000 0.000 0.577
0.333 0.667 0.244
0.667 0.333 0.911
0.000 0.000 0.749
0.333 0.667 0.415
0.667 0.333 0.082
```

Computed properties:
Magnetic moment: 0.0 μB per formula unit
E: -0.2076 Ry/atom
Crystal system: trigonal



# 7
Computed, not measured: an optimized crystal structure of Na5IBr4 at the PBE-GGA level of DFT.

```
Na5IBr4
1.0
-2.179 2.179 15.326
2.179 -2.179 15.326
2.179 2.179 -15.326
Na I Br
5 1 4
direct
0.000 0.000 0.000
0.201 0.201 0.000
0.395 0.395 0.000
0.605 0.605 0.000
0.799 0.799 0.000
0.500 0.500 0.000
0.103 0.103 0.000
0.298 0.298 0.000
0.702 0.702 0.000
0.897 0.897 0.000
```

Computed properties:
Magnetic moment: 0.0 μB per formula unit
E: -0.2186 Ry/atom
Crystal system: tetragonal



# 8
Computed, not measured: an optimized crystal structure of Na2IBr6 at the PBE-GGA level of DFT.

```
Na2IBr6
1.0
7.215 0.000 0.000
0.000 7.872 0.000
-6.796 0.000 11.427
Na I Br
4 2 12
direct
0.163 0.002 0.176
0.163 0.498 0.676
0.837 0.502 0.324
0.837 0.998 0.824
0.000 0.000 0.500
0.000 0.500 0.000
0.135 0.178 0.375
0.135 0.322 0.875
0.242 0.658 0.503
0.242 0.842 0.003
0.341 0.118 0.703
0.341 0.382 0.203
0.659 0.618 0.797
0.659 0.882 0.297
0.758 0.158 0.997
0.758 0.342 0.497
0.865 0.678 0.125
0.865 0.822 0.625
```

Computed properties:
Magnetic moment: 1.0 μB per formula unit
E: -0.1597 Ry/atom
Crystal system: monoclinic



| no. | uncorrected formation energy (eV/atom) |
| --- | --- |
| 1 | -0.042 |
| 2 | 1.139 |
| 3 | 0.722 |
| 4 | 1.251 |
| 5 | -0.058 |
| 6 | -1.360 |
| 7 | -1.490 |
| 8 | -0.593 |